1.
## La4PtCl5 (GGA-PBE)

Data for a relaxed La4PtCl5 crystal.

It has space group C2/m (No. 12), with a = 18.515 Å, b = 4.053 Å, c = 8.694 Å, α = 90.00°, β = 102.78° and γ = 90.00°. The inequivalent atoms are La at (0.006, 0.000, 0.231), La at (0.171, 0.500, 0.069), Pt at (0.000, 0.500, 0.000), Cl at (0.000, 0.500, 0.500), Cl at (0.160, 0.000, 0.816) and Cl at (0.169, 0.000, 0.310).

For the uncorrected formation energy, the calculation gives -1.8549 eV/atom. Its total DFT energy (no corrections) is -107.1 eV/cell. Its crystal system is monoclinic. Its magnetization is 1.95 μB per cell. The density of states at the Fermi level comes out at 3.19 states/eV/f.u.


2.
## LaPtCl2 (GGA-PBE)

Data for a relaxed LaPtCl2 crystal.

It has space group R-3m (No. 166, hexagonal axes), with a = 4.1844 Å, b = 4.1844 Å, c = 22.8013 Å, α = 90.00°, β = 90.00° and γ = 120.00°. The inequivalent atoms are La at (0.0000, 0.0000, 0.0000), Pt at (0.0000, 0.0000, 0.5000) and Cl at (0.0000, 0.0000, 0.1186).

For the uncorrected formation energy, the calculation gives -0.2186 eV/atom. Its total DFT energy (no corrections) is -46.6 eV/cell. Its crystal system is trigonal. Its magnetization is 2.15 μB per cell. The density of states at the Fermi level comes out at 4.91 states/eV/f.u.


3.
## La2Pt2Cl (GGA-PBE)

Data for a relaxed La2Pt2Cl crystal.

It has space group P4/mbm (No. 127), with a = 8.123 Å, b = 8.123 Å, c = 3.873 Å, α = 90.00°, β = 90.00° and γ = 90.00°. The inequivalent atoms are La at (0.177, 0.323, 0.000), Pt at (0.122, 0.622, 0.500) and Cl at (0.000, 0.000, 0.000).

For the uncorrected formation energy, the calculation gives -1.3631 eV/atom. Its total DFT energy (no corrections) is -61.2 eV/cell. Its crystal system is tetragonal. Its magnetization is 0.00 μB per cell. The density of states at the Fermi level comes out at 3.73 states/eV/f.u.


4.
## LaPt2Cl2 (GGA-PBE)

Data for a relaxed LaPt2Cl2 crystal.

It has space group I4/mmm (No. 139), with a = 4.334 Å, b = 4.334 Å, c = 11.727 Å, α = 90.00°, β = 90.00° and γ = 90.00°. The inequivalent atoms are La at (0.000, 0.000, 0.000), Pt at (0.000, 0.000, 0.394) and Cl at (0.000, 0.500, 0.250).

For the uncorrected formation energy, the calculation gives -0.5669 eV/atom. Its total DFT energy (no corrections) is -47.1 eV/cell. Its crystal system is tetragonal. Its magnetization is 2.04 μB per cell. The density of states at the Fermi level comes out at 4.79 states/eV/f.u.


5.
## La2PtCl (GGA-PBE)

Data for a relaxed La2PtCl crystal.

It has space group R-3m (No. 166, hexagonal axes), with a = 4.2633 Å, b = 4.2633 Å, c = 22.6363 Å, α = 90.00°, β = 90.00° and γ = 120.00°. The inequivalent atoms are La at (0.0000, 0.0000, 0.2367), Pt at (0.0000, 0.0000, 0.5000) and Cl at (0.0000, 0.0000, 0.0000).

For the uncorrected formation energy, the calculation gives -1.4442 eV/atom. Its total DFT energy (no corrections) is -70.6 eV/cell. Its crystal system is trigonal. Its magnetization is 0.00 μB per cell. The density of states at the Fermi level comes out at 3.28 states/eV/f.u.


6.
## LaPtCl2 (GGA-PBE)

Data for a relaxed LaPtCl2 crystal.

It has space group Imm2 (No. 44), with a = 3.943 Å, b = 4.330 Å, c = 12.570 Å, α = 90.00°, β = 90.00° and γ = 90.00°. The inequivalent atoms are La at (0.000, 0.000, 0.000), Pt at (0.000, 0.500, 0.650), Cl at (0.000, 0.000, 0.408) and Cl at (0.000, 0.500, 0.159).

For the uncorrected formation energy, the calculation gives -1.1862 eV/atom. Its total DFT energy (no corrections) is -38.8 eV/cell. Its crystal system is orthorhombic. Its magnetization is 0.00 μB per cell. The density of states at the Fermi level comes out at 1.30 states/eV/f.u.